PrSmMgBi | PBE-GGA | relaxed

The structure in extended XYZ format:
```
4
Lattice="-4.888 -0.484 2.569 -4.294 -2.322 -2.627 -1.830 -4.995 1.558" Properties=species:S:1:pos:R:3 pbc="T T T"
Pr -8.259 -5.850 1.126
Mg 0.000 0.000 0.000
Bi -5.506 -3.900 0.750
Sm -2.753 -1.950 0.375
```



PrMgSnBi | PBE-GGA | relaxed

The structure in extended XYZ format:
```
4
Lattice="5.461 0.000 0.000 2.730 4.729 0.000 2.730 1.576 4.458" Properties=species:S:1:pos:R:3 pbc="T T T"
Pr 5.461 3.153 2.229
Mg 0.000 0.000 0.000
Bi 8.191 4.729 3.344
Sn 2.730 1.576 1.115
```



PrMg2SnBi | PBE-GGA | relaxed

The structure in extended XYZ format:
```
10
Lattice="4.326 0.000 0.000 -2.163 7.874 0.000 0.000 0.000 8.906" Properties=species:S:1:pos:R:3 pbc="T T T"
Pr 0.000 6.914 6.679
Pr 2.163 0.959 2.226
Mg 0.000 2.697 8.318
Mg 2.163 5.176 0.588
Mg 0.000 2.697 5.041
Mg 2.163 5.176 3.865
Sn 0.000 0.000 0.000
Sn 0.000 0.000 4.453
Bi 2.163 4.018 6.679
Bi 0.000 3.856 2.226
```



For each record above, in turn, the calculated DOS(E_F) values are 0.9913 1.1083 0.1796 states/eV per atom.
For each record above, in turn, the calculated DFT formation energy values are -0.364 -0.324 -0.315 eV per atom.